# 1
# LiNdZnAu2 (GGA-PBE, optimized geometry)
# * density: 9.83 Mg/m³
# * V: 206.34 Å³/cell
# * energy of formation from the pure elements: -0.597 eV/atom
# * DOS(E_F): 5.83 states/eV/cell
# * uncorrected energy: -3.499 eV per atom
data_LiNdZnAu2
_cell_length_a 3.985
_cell_length_b 3.985
_cell_length_c 12.994
_cell_angle_alpha 90.00
_cell_angle_beta 90.00
_cell_angle_gamma 90.00
_symmetry_space_group_name_H-M 'I -4 m 2'
_symmetry_Int_Tables_number 119
_symmetry_space_group_name_Hall 'I -4 -2'
loop_
_atom_site_label
_atom_site_type_symbol
_atom_site_fract_x
_atom_site_fract_y
_atom_site_fract_z
Li1 Li 0.000 0.000 0.000
Nd1 Nd 0.000 0.500 0.750
Zn1 Zn 0.000 0.000 0.500
Au1 Au 0.000 0.500 0.139



# 2
# K3Sn4Bi4 (GGA-PBE, optimized geometry)
# * density: 5.39 Mg/m³
# * V: 879.90 Å³/cell
# * energy of formation from the pure elements: -0.142 eV/atom
# * DOS(E_F): 9.05 states/eV/cell
# * uncorrected energy: -3.308 eV per atom
data_K3Sn4Bi4
_cell_length_a 5.404
_cell_length_b 5.556
_cell_length_c 29.307
_cell_angle_alpha 90.00
_cell_angle_beta 90.00
_cell_angle_gamma 90.00
_symmetry_space_group_name_H-M 'I m m m'
_symmetry_Int_Tables_number 71
_symmetry_space_group_name_Hall '-I 2 2'
loop_
_atom_site_label
_atom_site_type_symbol
_atom_site_fract_x
_atom_site_fract_y
_atom_site_fract_z
K1 K 0.000 0.000 0.000
K2 K 0.000 0.500 0.142
Sn1 Sn 0.000 0.000 0.452
Sn2 Sn 0.000 0.500 0.302
Bi1 Bi 0.000 0.000 0.252
Bi2 Bi 0.000 0.500 0.408